Below is a geometry-optimized Tm4TcSe structure, with properties calculated at the GGA-PBE level.

## Properties
**Crystal system**: orthorhombic
**Raw total energy**: -35.5 eV per formula unit
**Uncorrected formation energy**: -0.62 eV/atom

Cell lengths 4.179, 7.333, 19.588 Å; angles 90.00, 90.00, 90.00 degrees
Element x y z (fractional)
Tm 0.750 0.927 0.641
Tm 0.250 0.073 0.359
Tm 0.250 0.573 0.141
Tm 0.750 0.427 0.859
Tm 0.750 0.849 0.471
Tm 0.250 0.151 0.529
Tm 0.250 0.651 0.971
Tm 0.750 0.349 0.029
Tm 0.750 0.990 0.927
Tm 0.250 0.010 0.073
Tm 0.250 0.510 0.427
Tm 0.750 0.490 0.573
Tm 0.750 0.903 0.213
Tm 0.250 0.097 0.787
Tm 0.250 0.597 0.713
Tm 0.750 0.403 0.287
Tc 0.750 0.250 0.432
Tc 0.250 0.750 0.568
Tc 0.250 0.250 0.932
Tc 0.750 0.750 0.068
Se 0.750 0.803 0.788
Se 0.250 0.197 0.212
Se 0.250 0.697 0.288
Se 0.750 0.303 0.712

---

Below is a geometry-optimized Tm4TcSe2 structure, with properties calculated at the GGA-PBE level.

## Properties
**Crystal system**: orthorhombic
**Raw total energy**: -41.8 eV per formula unit
**Uncorrected formation energy**: -0.94 eV/atom

Cell lengths 3.793, 6.852, 13.848 Å; angles 90.00, 90.00, 106.07 degrees
Element x y z (fractional)
Tm 0.203 0.405 0.631
Tm 0.797 0.595 0.369
Tm 0.797 0.595 0.131
Tm 0.203 0.405 0.869
Tm 0.949 0.898 0.750
Tm 0.051 0.102 0.250
Tm 0.500 0.000 0.000
Tm 0.500 0.000 0.500
Tc 0.400 0.800 0.250
Tc 0.600 0.200 0.750
Se 0.858 0.717 0.936
Se 0.142 0.283 0.064
Se 0.858 0.717 0.564
Se 0.142 0.283 0.436